First-principles (PBE-GGA) data for a relaxed LiTmSe2 crystal, as listed in OQMD via LeMat-Bulk.

## Properties
Spin magnetization ... 0.0001 μB per atom
Total energy ... -38.650 eV/cell
Symmetry ... I-42d, No. 122
Calculated density ... 4.83 g/cm³
V ... 28.67 A^3/atom

abc: 7.477 7.477 7.477
angles: 131.54 131.54 70.96
Sites, in units of the cell vectors:
Li  0.000  0.000  0.000
Li  0.750  0.250  0.500
Se  0.375  0.887  0.012
Se  0.113  0.125  0.488
Se  0.637  0.625  0.512
Se  0.875  0.363  0.988
Tm  0.500  0.500  0.000
Tm  0.250  0.750  0.500